(1)
First-principles (PBE) data for a relaxed Cd2AgPd4 crystal, as listed in Alexandria via LeMat-Bulk.

abc: 7.597 7.597 7.597
angles: 142.27 142.27 54.43
Element x y z (fractional)
Cd1 0.112 0.112 0.000
Cd2 0.888 0.888 0.000
Ag1 0.500 0.500 0.000
Pd1 0.000 0.500 0.500
Pd2 0.306 0.306 0.000
Pd3 0.500 0.000 0.500
Pd4 0.694 0.694 0.000

## Properties
- ΔH_f (0 K): 12.5 kcal/mol of atoms
- M_tot: 0.00 μB per formula unit
- Calculated total energy: -3.09 eV per atom

---

(2)
First-principles (PBE) data for a relaxed PmYCdSi crystal, as listed in Alexandria via LeMat-Bulk.

abc: 5.172 5.172 5.172
angles: 60.00 60.00 60.00
Element x y z (fractional)
Pm1 0.000 0.000 0.000
Y1 0.500 0.500 0.500
Cd1 0.750 0.750 0.750
Si1 0.250 0.250 0.250

## Properties
- M_tot: 0.00 μB per formula unit
- Calculated total energy: -4.79 eV per atom

---

> Which formula does entry 1 have?

Cd2AgPd4